(1)
A geometry-optimized UMnC structure, computed with PBE.

Cell and atoms, written as extended XYZ:
```
3
Lattice="3.531 0.000 0.000 0.000 3.566 0.000 0.000 -1.783 3.089" Properties=species:S:1:pos:R:3 pbc="T T T"
Mn 0.589 0.000 2.059
C 0.589 0.000 0.000
U 2.354 1.783 1.030
```

Values from the calculation:
Its formation enthalpy at 0 K is 0.069 eV/atom. Its density of states at the Fermi level is 5.460 states/eV per cell.

(2)
A geometry-optimized U2Mn17C2 structure, computed with PBE.

Cell and atoms, written as extended XYZ:
```
21
Lattice="6.337 0.001 0.701 0.641 6.273 0.632 0.010 0.036 6.337" Properties=species:S:1:pos:R:3 pbc="T T T"
Mn 4.579 4.132 1.804
Mn 0.320 3.137 0.316
Mn 5.743 2.252 3.096
Mn 6.288 5.670 6.893
Mn 0.005 0.018 3.169
Mn 0.700 0.640 0.777
Mn 4.257 0.944 4.721
Mn 2.389 6.261 5.403
Mn 3.168 0.000 0.350
Mn 0.470 4.582 2.178
Mn 4.599 0.049 2.267
Mn 4.770 1.738 0.722
Mn 2.409 2.178 5.866
Mn 1.245 4.058 4.574
Mn 0.181 1.727 4.791
Mn 2.731 5.366 2.949
Mn 2.218 4.572 6.948
U 2.398 2.222 2.694
U 4.590 4.088 4.976
C 3.489 3.137 0.666
C 3.173 0.018 3.519
```

Values from the calculation:
Its formation enthalpy at 0 K is -0.009 eV/atom. Its density of states at the Fermi level is 29.048 states/eV per cell.

(3)
A geometry-optimized U3MnC3 structure, computed with PBE.

Cell and atoms, written as extended XYZ:
```
14
Lattice="-0.021 0.656 5.031 -4.742 -4.936 0.623 6.679 -1.602 0.237" Properties=species:S:1:pos:R:3 pbc="T T T"
C 0.808 -4.411 1.858
C -1.158 -1.783 1.507
C -2.471 -4.787 1.893
C 4.387 -1.095 3.999
C 3.074 -4.099 4.385
C 1.108 -1.471 4.034
U -1.205 -1.680 4.051
U 3.121 -4.202 1.840
U -2.268 -4.378 4.398
U 0.619 -3.940 4.354
U 4.184 -1.505 1.493
U 1.297 -1.942 1.538
Mn -0.940 -3.661 1.752
Mn 2.856 -2.222 4.139
```

Values from the calculation:
Its formation enthalpy at 0 K is -0.051 eV/atom. Its density of states at the Fermi level is 17.409 states/eV per cell.

(4)
A geometry-optimized UMn2C structure, computed with PBE.

Cell and atoms, written as extended XYZ:
```
8
Lattice="-0.324 -2.059 2.015 0.119 -2.549 -4.252 6.774 -0.556 0.523" Properties=species:S:1:pos:R:3 pbc="T T T"
C 4.898 -3.399 -0.411
C 1.671 -1.764 -1.304
Mn 2.820 -2.433 0.292
Mn 6.369 -2.945 -1.805
Mn 0.199 -2.218 0.090
Mn 3.749 -2.730 -2.007
U 1.499 -4.327 -1.808
U 5.069 -0.836 0.093
```

Values from the calculation:
Its formation enthalpy at 0 K is 0.105 eV/atom. Its density of states at the Fermi level is 9.299 states/eV per cell.

(5)
A geometry-optimized U2MnC2 structure, computed with PBE.

Cell and atoms, written as extended XYZ:
```
20
Lattice="4.885 0.000 0.000 0.000 6.214 0.000 0.000 0.000 9.012" Properties=species:S:1:pos:R:3 pbc="T T T"
Mn 1.221 1.587 1.203
Mn 3.664 4.627 7.809
Mn 1.221 4.694 3.303
Mn 3.664 1.520 5.708
U 3.664 3.098 1.763
U 1.221 0.009 6.269
U 1.221 1.763 4.183
U 3.664 1.344 8.689
U 1.221 3.116 7.248
U 3.664 6.205 2.743
U 3.664 4.451 4.828
U 1.221 4.870 0.322
C 3.664 2.225 3.896
C 1.221 0.882 8.402
C 3.664 3.050 6.769
C 1.221 0.057 2.263
C 3.664 6.157 6.748
C 3.664 5.332 0.610
C 1.221 3.989 5.116
C 1.221 3.164 2.243
```

Values from the calculation:
Its formation enthalpy at 0 K is -0.167 eV/atom. Its density of states at the Fermi level is 18.990 states/eV per cell.

(6)
A geometry-optimized UMnC structure, computed with PBE.

Cell and atoms, written as extended XYZ:
```
3
Lattice="-2.185 -1.647 0.139 1.506 -2.078 -0.959 1.539 0.653 4.917" Properties=species:S:1:pos:R:3 pbc="T T T"
Mn 0.672 -0.678 2.526
U 0.026 -0.027 0.099
C 0.162 -2.368 1.472
```

Values from the calculation:
Its formation enthalpy at 0 K is 0.308 eV/atom. Its density of states at the Fermi level is 5.146 states/eV per cell.